{
  "formula": "Mn5P3",
  "functional": "GGA-PBEsol",
  "state": "optimized geometry",
  "cell": [[-0.880, -4.455, 1.482], [5.974, -1.656, -1.432], [-1.385, 2.204, 5.806]],
  "species": ["Mn", "Mn", "Mn", "Mn", "Mn", "Mn", "Mn", "Mn", "Mn", "Mn", "P", "P", "P", "P", "P", "P"],
  "fractional_positions": [[0.250, 0.247, 0.247], [0.250, 0.753, 0.000], [0.750, 0.000, 0.247], [0.750, 0.753, 0.753], [0.000, 0.333, 0.667], [0.000, 0.667, 0.333], [0.500, 0.667, 0.333], [0.750, 0.247, 0.000], [0.500, 0.333, 0.667], [0.250, 0.000, 0.753], [0.250, 0.394, 0.000], [0.750, 0.606, 0.000], [0.250, 0.606, 0.606], [0.250, 0.000, 0.394], [0.750, 0.394, 0.394], [0.750, 0.000, 0.606]],
  "spacegroup": "No. 193",
  "volume_a3_per_atom": 10.47,
  "e_above_lowest_polymorph_mev_per_atom": 0,
  "crystal_system": "hexagonal"
}



{
  "formula": "MnP",
  "functional": "GGA-PBEsol",
  "state": "optimized geometry",
  "cell": [[-1.181, 1.958, -2.062], [-2.444, -3.894, -2.298], [-4.586, 0.852, 3.435]],
  "species": ["P", "P", "P", "P", "Mn", "Mn", "Mn", "Mn"],
  "fractional_positions": [[0.750, 0.314, 0.068], [0.750, 0.814, 0.432], [0.250, 0.686, 0.932], [0.250, 0.186, 0.568], [0.250, 0.505, 0.304], [0.750, 0.495, 0.696], [0.750, 0.995, 0.804], [0.250, 0.005, 0.196]],
  "spacegroup": "No. 62",
  "volume_a3_per_atom": 11.46,
  "crystal_system": "orthorhombic",
  "total_energy_ev_per_atom": -8.46
}



{
  "formula": "MnP2",
  "functional": "GGA-PBEsol",
  "state": "optimized geometry",
  "cell": [[-0.457, -2.533, -0.902], [2.073, 0.250, -1.754], [5.325, -2.367, 8.076]],
  "species": ["P", "P", "P", "P", "Mn", "Mn"],
  "fractional_positions": [[0.431, 0.431, 0.861], [0.819, 0.319, 0.639], [0.569, 0.569, 0.139], [0.681, 0.181, 0.361], [0.250, 0.750, 0.500], [0.000, 0.000, 0.000]],
  "spacegroup": "No. 141",
  "volume_a3_per_atom": 12.11,
  "crystal_system": "tetragonal",
  "total_energy_ev_per_atom": -7.34
}



{
  "formula": "MnPPb2",
  "functional": "GGA-PBEsol",
  "state": "optimized geometry",
  "cell": [[3.736, 0.000, 0.000], [0.000, 3.736, 0.000], [0.000, 0.000, 6.145]],
  "species": ["P", "Pb", "Pb", "Mn"],
  "fractional_positions": [[0.500, 0.500, 0.500], [0.000, 0.000, 0.749], [0.000, 0.000, 0.251], [0.500, 0.500, 0.000]],
  "spacegroup": "No. 123",
  "volume_a3_per_atom": 21.44,
  "crystal_system": "tetragonal",
  "total_energy_ev_per_atom": -5.37
}



{
  "formula": "MnPPb2",
  "functional": "GGA-PBEsol",
  "state": "optimized geometry",
  "cell": [[-2.841, 1.302, 1.100], [-0.290, -2.516, 2.229], [5.521, 4.805, 3.586]],
  "species": ["Pb", "Pb", "Mn", "P"],
  "fractional_positions": [[0.836, 0.836, 0.673], [0.164, 0.164, 0.327], [0.500, 0.000, 0.000], [0.000, 0.500, 0.000]],
  "spacegroup": "No. 71",
  "volume_a3_per_atom": 21.79,
  "crystal_system": "orthorhombic",
  "total_energy_ev_per_atom": -5.80
}



{
  "formula": "MnPRuPb2",
  "functional": "GGA-PBEsol",
  "state": "optimized geometry",
  "cell": [[-3.953, 1.124, -1.257], [-0.531, -4.658, -2.497], [-2.015, -2.141, 4.423]],
  "species": ["Mn", "Ru", "P", "Pb", "Pb"],
  "fractional_positions": [[0.500, 0.500, 0.500], [0.500, 0.000, 0.000], [0.000, 0.000, 0.000], [0.000, 0.000, 0.500], [0.000, 0.500, 0.000]],
  "spacegroup": "No. 123",
  "volume_a3_per_atom": 24.25,
  "crystal_system": "tetragonal",
  "total_energy_ev_per_atom": -5.85
}



{
  "formula": "MnSnPPb2",
  "functional": "GGA-PBEsol",
  "state": "optimized geometry",
  "cell": [[4.950, 0.000, 0.000], [0.000, 5.654, 0.000], [0.000, 0.000, 5.654]],
  "species": ["Pb", "Pb", "Mn", "Sn", "P"],
  "fractional_positions": [[0.000, 0.500, 0.000], [0.000, 0.000, 0.500], [0.500, 0.000, 0.000], [0.000, 0.000, 0.000], [0.500, 0.500, 0.500]],
  "spacegroup": "No. 123",
  "volume_a3_per_atom": 31.65,
  "crystal_system": "tetragonal",
  "total_energy_ev_per_atom": -4.41
}



{
  "formula": "Mn3P6Pd20",
  "functional": "GGA-PBEsol",
  "state": "optimized geometry",
  "cell": [[-3.987, 6.632, -3.276], [-6.517, -1.152, -5.178], [-7.778, 1.905, 2.547]],
  "species": ["Pd", "Pd", "Pd", "Pd", "Pd", "Pd", "Pd", "Pd", "Pd", "Pd", "Pd", "Pd", "Pd", "Pd", "Pd", "Pd", "Pd", "Pd", "Pd", "Pd", "Mn", "Mn", "Mn", "P", "P", "P", "P", "P", "P"],
  "fractional_positions": [[0.343, 0.000, 0.000], [0.657, 0.000, 0.000], [0.343, 0.657, 0.000], [0.856, 0.381, 0.381], [0.619, 0.619, 0.144], [0.381, 0.381, 0.856], [0.000, 0.657, 0.000], [0.657, 0.000, 0.343], [0.000, 0.657, 0.343], [0.657, 0.343, 0.000], [0.000, 0.343, 0.657], [0.000, 0.343, 0.000], [0.000, 0.000, 0.343], [0.381, 0.856, 0.381], [0.381, 0.381, 0.381], [0.619, 0.619, 0.619], [0.619, 0.144, 0.619], [0.144, 0.619, 0.619], [0.343, 0.000, 0.657], [0.000, 0.000, 0.657], [0.750, 0.750, 0.750], [0.250, 0.250, 0.250], [0.000, 0.000, 0.000], [0.266, 0.266, 0.734], [0.734, 0.734, 0.266], [0.266, 0.734, 0.734], [0.734, 0.266, 0.266], [0.266, 0.734, 0.266], [0.734, 0.266, 0.734]],
  "spacegroup": "No. 225",
  "volume_a3_per_atom": 14.47,
  "crystal_system": "cubic",
  "total_energy_ev_per_atom": -6.76
}



{
  "formula": "MnPPt3",
  "functional": "GGA-PBEsol",
  "state": "optimized geometry",
  "cell": [[4.472, 0.000, 0.000], [0.000, 4.472, 0.000], [0.000, 0.000, 4.472]],
  "species": ["Pt", "Pt", "Pt", "Mn", "P"],
  "fractional_positions": [[0.000, 0.500, 0.000], [0.500, 0.000, 0.000], [0.000, 0.000, 0.500], [0.000, 0.000, 0.000], [0.500, 0.500, 0.500]],
  "spacegroup": "No. 221",
  "volume_a3_per_atom": 17.89,
  "crystal_system": "cubic",
  "total_energy_ev_per_atom": -5.97
}



{
  "formula": "MnP2Pt",
  "functional": "GGA-PBEsol",
  "state": "optimized geometry",
  "cell": [[-1.744, 1.793, -1.823], [-3.165, -0.383, 2.651], [1.310, 3.358, 2.050]],
  "species": ["P", "P", "Mn", "Pt"],
  "fractional_positions": [[0.000, 0.000, 0.500], [0.000, 0.500, 0.000], [0.500, 0.000, 0.000], [0.500, 0.500, 0.500]],
  "spacegroup": "No. 123",
  "volume_a3_per_atom": 13.30,
  "e_above_lowest_polymorph_mev_per_atom": 172,
  "crystal_system": "tetragonal"
}



{
  "formula": "MnP2Pt",
  "functional": "GGA-PBEsol",
  "state": "optimized geometry",
  "cell": [[2.818, 0.000, 0.000], [1.409, 2.441, 0.000], [1.409, 0.814, 7.300]],
  "species": ["Mn", "Pt", "P", "P"],
  "fractional_positions": [[0.000, 0.000, 0.000], [0.500, 0.500, 0.500], [0.740, 0.740, 0.780], [0.260, 0.260, 0.220]],
  "spacegroup": "No. 166",
  "volume_a3_per_atom": 12.55,
  "e_above_lowest_polymorph_mev_per_atom": 0,
  "crystal_system": "trigonal"
}



{
  "formula": "MnReP",
  "functional": "GGA-PBEsol",
  "state": "optimized geometry",
  "cell": [[-2.144, -3.308, 0.068], [-0.878, -1.710, 3.442], [-3.703, 0.077, 1.352]],
  "species": ["P", "Mn", "Re"],
  "fractional_positions": [[0.500, 0.500, 0.500], [0.000, 0.000, 0.000], [0.250, 0.250, 0.250]],
  "spacegroup": "No. 216",
  "volume_a3_per_atom": 14.45,
  "e_above_lowest_polymorph_mev_per_atom": 261,
  "crystal_system": "cubic"
}



{
  "formula": "Mn2ReP",
  "functional": "GGA-PBEsol",
  "state": "optimized geometry",
  "cell": [[-0.324, -2.578, -0.542], [2.115, -1.592, -0.187], [0.117, -2.916, 7.301]],
  "species": ["Mn", "Mn", "Re", "P"],
  "fractional_positions": [[0.757, 0.757, 0.728], [0.243, 0.243, 0.272], [0.000, 0.000, 0.000], [0.500, 0.500, 0.500]],
  "spacegroup": "No. 166",
  "volume_a3_per_atom": 11.76,
  "crystal_system": "trigonal",
  "total_energy_ev_per_atom": -9.74
}



{
  "formula": "MnReP",
  "functional": "GGA-PBEsol",
  "state": "optimized geometry",
  "cell": [[2.713, 0.000, 0.000], [0.000, 3.897, 0.000], [0.000, -1.949, 3.375]],
  "species": ["Re", "P", "Mn"],
  "fractional_positions": [[0.334, 0.667, 0.333], [0.833, 0.333, 0.667], [0.833, 0.000, 0.000]],
  "spacegroup": "No. 187",
  "volume_a3_per_atom": 11.89,
  "e_above_lowest_polymorph_mev_per_atom": 0,
  "crystal_system": "hexagonal"
}



{
  "formula": "MnReP3",
  "functional": "GGA-PBEsol",
  "state": "optimized geometry",
  "cell": [[-3.432, 2.595, -1.634], [0.720, -1.702, -4.214], [-2.981, -3.398, 0.864]],
  "species": ["P", "P", "P", "Re", "Mn"],
  "fractional_positions": [[0.000, 0.000, 0.500], [0.000, 0.500, 0.000], [0.500, 0.000, 0.000], [0.000, 0.000, 0.000], [0.500, 0.500, 0.500]],
  "spacegroup": "No. 221",
  "volume_a3_per_atom": 19.49,
  "crystal_system": "cubic",
  "total_energy_ev_per_atom": -7.19
}



{
  "formula": "Mn2ReP",
  "functional": "GGA-PBEsol",
  "state": "optimized geometry",
  "cell": [[-1.307, 1.615, 1.818], [1.692, -2.245, 3.211], [3.307, 2.271, -1.736]],
  "species": ["Re", "Mn", "Mn", "P"],
  "fractional_positions": [[0.760, 0.302, 0.520], [0.986, 0.916, 0.972], [0.245, 0.797, 0.491], [0.508, 0.485, 0.017]],
  "spacegroup": "No. 8",
  "volume_a3_per_atom": 11.70,
  "crystal_system": "monoclinic",
  "total_energy_ev_per_atom": -9.80
}



{
  "formula": "MnReP",
  "functional": "GGA-PBEsol",
  "state": "optimized geometry",
  "cell": [[2.719, 0.000, 0.000], [-1.360, 2.355, 0.000], [0.000, 0.000, 5.754]],
  "species": ["Re", "Mn", "P"],
  "fractional_positions": [[0.667, 0.333, 0.334], [0.000, 0.000, 0.979], [0.333, 0.667, 0.686]],
  "spacegroup": "No. 156",
  "volume_a3_per_atom": 12.28,
  "e_above_lowest_polymorph_mev_per_atom": 121,
  "crystal_system": "trigonal"
}



{
  "formula": "Mn2ReP",
  "functional": "GGA-PBEsol",
  "state": "optimized geometry",
  "cell": [[2.667, 0.000, 0.000], [1.333, 2.310, 0.000], [1.333, 0.770, 7.710]],
  "species": ["Mn", "Mn", "Re", "P"],
  "fractional_positions": [[0.753, 0.753, 0.742], [0.005, 0.005, 0.986], [0.249, 0.249, 0.252], [0.493, 0.493, 0.520]],
  "spacegroup": "No. 160",
  "volume_a3_per_atom": 11.87,
  "crystal_system": "trigonal",
  "total_energy_ev_per_atom": -9.60
}



{
  "formula": "MnRePS2",
  "functional": "GGA-PBEsol",
  "state": "optimized geometry",
  "cell": [[4.507, 0.000, 0.000], [0.000, 4.507, 0.000], [0.000, 0.000, 4.826]],
  "species": ["S", "S", "P", "Mn", "Re"],
  "fractional_positions": [[0.500, 0.000, 0.000], [0.000, 0.500, 0.000], [0.000, 0.000, 0.500], [0.500, 0.500, 0.500], [0.000, 0.000, 0.000]],
  "e_form_raw_ev_per_atom": 0.677,
  "spacegroup": "No. 123",
  "volume_a3_per_atom": 19.60,
  "crystal_system": "tetragonal"
}



{
  "formula": "MnP2Rh",
  "functional": "GGA-PBEsol",
  "state": "optimized geometry",
  "cell": [[2.859, 0.000, 0.029], [0.000, 3.537, 0.000], [-0.050, 0.000, 5.155]],
  "species": ["P", "P", "Rh", "Mn"],
  "fractional_positions": [[0.501, 0.000, 0.288], [0.499, 0.000, 0.712], [0.500, 0.500, 0.000], [0.000, 0.500, 0.500]],
  "spacegroup": "No. 47",
  "volume_a3_per_atom": 13.03,
  "e_above_lowest_polymorph_mev_per_atom": 267,
  "crystal_system": "orthorhombic"
}